# 1
A geometry-optimized K2LiLaCl6 structure, computed with GGA-PBE.

Calculated values
Distance to the lowest polymorph of the same formula ... 0.0 meV/atom
Raw formation energy ... -2105 meV per atom

Unit cell a=7.3396 b=7.6012 c=10.4299 alpha=90.00 beta=89.04 gamma=90.00
Positions (direct):
K 0.0201 0.9374 0.2534
K 0.5201 0.5626 0.7534
K 0.9799 0.0626 0.7466
K 0.4799 0.4374 0.2466
Li 0.5000 0.0000 0.0000
Li 0.0000 0.5000 0.5000
La 0.5000 0.0000 0.5000
La 0.0000 0.5000 0.0000
Cl 0.3025 0.7101 0.0495
Cl 0.8025 0.7899 0.5495
Cl 0.6975 0.2899 0.9505
Cl 0.1975 0.2101 0.4505
Cl 0.2911 0.7011 0.4518
Cl 0.7911 0.7989 0.9518
Cl 0.7089 0.2989 0.5482
Cl 0.2089 0.2011 0.0482
Cl 0.9050 0.5257 0.2591
Cl 0.4050 0.9743 0.7591
Cl 0.0950 0.4743 0.7409
Cl 0.5950 0.0257 0.2409

---

# 2
A geometry-optimized BeCoTc2 structure, computed with GGA-PBE.

Calculated values
Distance to the lowest polymorph of the same formula ... 126.4 meV/atom
Formation energy from the elements ... 0.065 eV per atom

Unit cell a=4.1232 b=4.1232 c=4.1232 alpha=60.00 beta=60.00 gamma=60.00
Each line ends with the local moment (μB).
Positions (direct):
Be 0.5000 0.5000 0.5000  -0.01
Co 0.7500 0.7500 0.7500  0.86
Tc 0.0000 0.0000 0.0000  0.34
Tc 0.2500 0.2500 0.2500  -0.16

---

# 3
A geometry-optimized MgSiSb4 structure, computed with GGA-PBE.

Calculated values
Raw formation energy ... 525 meV per atom

Unit cell a=6.1793 b=6.1793 c=6.1793 alpha=60.00 beta=60.00 gamma=60.00
Positions (direct):
Mg 0.0000 0.0000 0.0000
Si 0.7500 0.7500 0.7500
Sb 0.8745 0.3752 0.3752
Sb 0.3752 0.3752 0.8745
Sb 0.3752 0.8745 0.3752
Sb 0.3752 0.3752 0.3752

---

# 4
A geometry-optimized TcAg2Br structure, computed with GGA-PBE.

Calculated values
Distance to the lowest polymorph of the same formula ... 547.3 meV/atom
Raw formation energy ... 961 meV per atom

Unit cell a=4.8725 b=4.8725 c=4.8725 alpha=60.00 beta=60.00 gamma=60.00
Each line ends with the local moment (μB).
Positions (direct):
Br 0.0000 0.0000 0.0000  0.06
Tc 0.5000 0.5000 0.5000  3.10
Ag 0.2500 0.2500 0.2500  0.04
Ag 0.7500 0.7500 0.7500  0.04

---

# 5
A geometry-optimized RbTa4Se8 structure, computed with GGA-PBE.

Calculated values
Distance to the lowest polymorph of the same formula ... 0.0 meV/atom
Raw formation energy ... -782 meV per atom

Unit cell a=3.5283 b=9.1547 c=9.7306 alpha=83.39 beta=79.55 gamma=78.89
Positions (direct):
Rb 0.5157 0.0016 0.9671
Ta 0.3629 0.8319 0.4423
Ta 0.8367 0.4931 0.8336
Ta 0.1948 0.5104 0.1001
Ta 0.6686 0.1715 0.4914
Se 0.1451 0.3418 0.3681
Se 0.5544 0.6688 0.2225
Se 0.4771 0.3346 0.7113
Se 0.8864 0.6617 0.5656
Se 0.8569 0.9951 0.2912
Se 0.2127 0.6952 0.8793
Se 0.1745 0.0083 0.6426
Se 0.8187 0.3082 0.0544

---

# 6
A geometry-optimized SmDyTm structure, computed with GGA-PBE.

Calculated values
Distance to the lowest polymorph of the same formula ... 0.0 meV/atom
Formation energy from the elements ... -0.005 eV per atom

Unit cell a=3.5791 b=7.1569 c=8.8137 alpha=78.30 beta=78.31 gamma=59.99
Positions (direct):
Sm 0.5970 0.0036 0.9098
Sm 0.5934 0.5049 0.9127
Dy 0.3732 0.3943 0.5751
Dy 0.8171 0.1143 0.2474
Tm 0.3751 0.8930 0.5749
Tm 0.8153 0.6157 0.2477

---

# 7
A geometry-optimized TaAlIn2 structure, computed with GGA-PBE.

Calculated values
Formation energy from the elements ... 0.246 eV per atom

Unit cell a=9.6853 b=9.6853 c=9.6853 alpha=18.77 beta=18.77 gamma=18.77
Positions (direct):
In 0.9999 0.9999 0.9999
In 0.5001 0.5001 0.5001
Al 0.7500 0.7500 0.7500
Ta 0.2500 0.2500 0.2500

---

# 8
A geometry-optimized LaNi5H6 structure, computed with GGA-PBE.

Calculated values
Distance to the lowest polymorph of the same formula ... 0.0 meV/atom

Unit cell a=5.3684 b=5.3684 c=4.2119 alpha=90.00 beta=90.00 gamma=120.00
Positions (direct):
La 0.6667 0.3333 0.8937
Ni 0.6447 0.8224 0.5048
Ni 0.1776 0.8224 0.5048
Ni 0.1776 0.3553 0.5048
Ni 0.0000 0.0000 0.0510
Ni 0.3333 0.6667 0.0195
H 0.6727 0.8363 0.8920
H 0.1637 0.8363 0.8920
H 0.1637 0.3273 0.8920
H 0.2921 0.1460 0.3503
H 0.8540 0.1460 0.3503
H 0.8540 0.7079 0.3503

---

| no. | theoretical density (g/cm³) | energy (eV per atom) |
| --- | --- | --- |
| 1 | 2.493 | -4.117 |
| 2 | 8.843 | -7.826 |
| 3 | 5.369 | -3.393 |
| 4 | 7.991 | -3.474 |
| 5 | 7.916 | -6.648 |
| 6 | 8.418 | -4.603 |
| 7 | 8.840 | -5.022 |
| 8 | 6.925 | -4.740 |